## PmPrDy4 (PBE)

Data for PmPrDy4 after structural relaxation.

Cell lengths 11.362, 5.059, 7.189 Å; angles 90.00, 108.53, 90.00 degrees
Sites, in units of the cell vectors:
Pm 0.000 0.000 0.000
Pm 0.500 0.500 0.000
Pr 0.000 0.000 0.500
Pr 0.500 0.500 0.500
Dy 0.167 0.500 0.333
Dy 0.168 0.500 0.835
Dy 0.332 0.000 0.165
Dy 0.333 0.000 0.667
Dy 0.667 0.000 0.333
Dy 0.668 0.000 0.835
Dy 0.832 0.500 0.165
Dy 0.833 0.500 0.667

M_tot	0.0	Bohr magnetons per cell
crystal system	monoclinic
E above lowest polymorph	0	meV per atom
total DFT energy (no corrections)	-4.637	eV/atom
energy of formation	0.02	eV/atom
SG	No. 12

=====

## PmPr3Dy2 (PBE)

Data for PmPr3Dy2 after structural relaxation.

Cell lengths 6.314, 6.314, 12.100 Å; angles 110.32, 110.32, 70.58 degrees
Sites, in units of the cell vectors:
Pm 0.125 0.875 0.750
Pm 0.875 0.125 0.250
Pr 0.042 0.292 0.584
Pr 0.292 0.042 0.084
Pr 0.375 0.625 0.250
Pr 0.625 0.375 0.750
Pr 0.708 0.958 0.916
Pr 0.958 0.708 0.416
Dy 0.209 0.459 0.918
Dy 0.459 0.209 0.418
Dy 0.541 0.791 0.582
Dy 0.791 0.541 0.082

M_tot	0.0	Bohr magnetons per cell
crystal system	monoclinic
E above lowest polymorph	0	meV per atom
total DFT energy (no corrections)	-4.698	eV/atom
energy of formation	0.02	eV/atom
SG	No. 15

=====

## Pm5Pr5Dy2 (PBE)

Data for Pm5Pr5Dy2 after structural relaxation.

Cell lengths 8.188, 8.188, 11.580 Å; angles 115.08, 115.08, 36.82 degrees
Sites, in units of the cell vectors:
Pm 0.000 0.000 0.000
Pm 0.082 0.082 0.749
Pm 0.167 0.167 0.500
Pm 0.833 0.833 0.500
Pm 0.918 0.918 0.251
Pr 0.249 0.249 0.250
Pr 0.335 0.335 0.001
Pr 0.500 0.500 0.500
Pr 0.665 0.665 0.999
Pr 0.751 0.751 0.750
Dy 0.416 0.416 0.749
Dy 0.584 0.584 0.251

M_tot	0.0	Bohr magnetons per cell
crystal system	monoclinic
E above lowest polymorph	0	meV per atom
total DFT energy (no corrections)	-4.722	eV/atom
energy of formation	0.02	eV/atom
SG	No. 12